1.
This record from Alexandria describes an optimized crystal structure of Mg2AlFe. The functional is PBE.

Calculated values
Its formation enthalpy at 0 K is 0.183 eV/atom.

a = 9.396 Å, b = 9.396 Å, c = 9.396 Å
α = 18.01°, β = 18.01°, γ = 18.01°
Fractional positions:
Mg: 0.245 0.245 0.245
Mg: 0.755 0.755 0.755
Al: 0.000 0.000 0.000
Fe: 0.500 0.500 0.500

***

2.
This record from Alexandria describes an optimized crystal structure of Pa2VWN5. The functional is PBE.

Calculated values
Its raw formation energy is -1.218 eV per atom.

a = 6.690 Å, b = 6.690 Å, c = 10.033 Å
α = 90.00°, β = 90.00°, γ = 151.66°
Fractional positions:
Pa: 0.107 0.893 0.500
Pa: 0.144 0.856 0.125
Pa: 0.856 0.144 0.625
Pa: 0.893 0.107 0.000
V: 0.462 0.538 0.283
V: 0.538 0.462 0.783
W: 0.199 0.801 0.824
W: 0.801 0.199 0.324
N: 0.050 0.950 0.890
N: 0.282 0.718 0.477
N: 0.317 0.683 0.188
N: 0.369 0.631 0.821
N: 0.489 0.511 0.601
N: 0.511 0.489 0.101
N: 0.631 0.369 0.321
N: 0.683 0.317 0.688
N: 0.718 0.282 0.977
N: 0.950 0.050 0.390

***

3.
This record from Alexandria describes an optimized crystal structure of CrReSb2I. The functional is PBE.

Calculated values
The energy above the most stable polymorph in this dataset is 0.000 eV per atom. Its raw formation energy is 0.996 eV per atom.

a = 5.079 Å, b = 5.079 Å, c = 5.982 Å
α = 90.00°, β = 90.00°, γ = 90.00°
Fractional positions:
Cr: 0.000 0.000 0.000
Re: 0.500 0.500 0.500
Sb: 0.000 0.500 0.500
Sb: 0.500 0.000 0.500
I: 0.500 0.500 0.000

***

Number 1: total magnetization 2.4 μB/f.u., raw total energy -0.135 hartree per atom. Number 2: total magnetization 0.0 μB/f.u., raw total energy -0.382 hartree per atom. Number 3: total magnetization 5.1 μB/f.u., raw total energy -0.198 hartree per atom.